No. 1
Density functional theory data (PBE-GGA) for a relaxed Li2TcSe crystal.

Cell lengths 4.972, 4.972, 2.889 Å; angles 90.00, 90.00, 121.66 degrees
Element x y z (fractional)
Li: 0.000 0.500 0.000
Li: 0.500 0.000 0.000
Tc: 0.000 0.000 0.500
Se: 0.500 0.500 0.500

Values from the calculation:
Symmetry: No. 65
Crystal system: orthorhombic
ΔE_f (raw): -9 kJ/mol of formula units


No. 2
Density functional theory data (PBE-GGA) for a relaxed MgPdSe crystal.

Cell lengths 4.905, 4.905, 5.320 Å; angles 90.00, 90.00, 90.00 degrees
Element x y z (fractional)
Mg: 0.250 0.250 0.164
Mg: 0.750 0.750 0.836
Pd: 0.250 0.250 0.674
Pd: 0.750 0.750 0.326
Se: 0.250 0.750 0.500
Se: 0.750 0.250 0.500

Values from the calculation:
Symmetry: No. 129
Crystal system: tetragonal
ΔE_f (raw): -77 kJ/mol of formula units


No. 3
Density functional theory data (PBE-GGA) for a relaxed EuMg2Zn crystal.

Cell lengths 3.420, 3.420, 8.418 Å; angles 90.00, 90.00, 90.00 degrees
Element x y z (fractional)
Eu: 0.000 0.000 0.000
Mg: 0.500 0.500 0.307
Mg: 0.500 0.500 0.693
Zn: 0.000 0.000 0.500

Values from the calculation:
Symmetry: No. 123
E_form: -63 meV/atom
Crystal system: tetragonal


No. 4
Density functional theory data (PBE-GGA) for a relaxed Pr5Sm2Y crystal.

Cell lengths 7.339, 14.713, 5.207 Å; angles 90.00, 90.00, 90.00 degrees
Element x y z (fractional)
Pr: 0.000 0.000 0.000
Pr: 0.001 0.251 0.000
Pr: 0.249 0.624 0.500
Pr: 0.251 0.124 0.500
Pr: 0.499 0.751 0.000
Pr: 0.500 0.500 0.000
Pr: 0.501 0.249 0.000
Pr: 0.749 0.876 0.500
Pr: 0.751 0.376 0.500
Pr: 0.999 0.749 0.000
Sm: 0.249 0.876 0.500
Sm: 0.251 0.376 0.500
Sm: 0.749 0.624 0.500
Sm: 0.751 0.124 0.500
Y: 0.000 0.500 0.000
Y: 0.500 0.000 0.000

Values from the calculation:
Symmetry: No. 55
E_form: 14 meV/atom
Crystal system: orthorhombic
E above lowest polymorph: 0.000 eV per formula unit


No. 5
Density functional theory data (PBE-GGA) for a relaxed CoSnSe2 crystal.

Cell lengths 8.014, 8.014, 8.014 Å; angles 30.11, 30.11, 30.11 degrees
Element x y z (fractional)
Co: 0.000 0.000 0.000
Sn: 0.500 0.500 0.500
Se: 0.098 0.098 0.098
Se: 0.902 0.902 0.902

Values from the calculation:
Symmetry: No. 166
Crystal system: trigonal
ΔE_f (raw): 70 kJ/mol of formula units


No. 6
Density functional theory data (PBE-GGA) for a relaxed Ba4InPb crystal.

Cell lengths 9.799, 9.799, 7.849 Å; angles 107.23, 107.23, 110.63 degrees
Element x y z (fractional)
Ba: 0.053 0.699 0.919
Ba: 0.248 0.360 0.732
Ba: 0.301 0.947 0.581
Ba: 0.360 0.248 0.232
Ba: 0.640 0.752 0.768
Ba: 0.699 0.053 0.419
Ba: 0.752 0.640 0.268
Ba: 0.947 0.301 0.081
In: 0.005 0.995 0.750
In: 0.995 0.005 0.250
Pb: 0.362 0.638 0.250
Pb: 0.638 0.362 0.750

Values from the calculation:
Symmetry: No. 15
E_form: -362 meV/atom
Crystal system: monoclinic
E above lowest polymorph: 0.000 eV per formula unit


No. 7
Density functional theory data (PBE-GGA) for a relaxed TbPtAu crystal.

Cell lengths 4.641, 4.641, 3.445 Å; angles 90.00, 90.00, 120.00 degrees
Element x y z (fractional)
Tb: 0.000 0.000 0.000
Pt: 0.667 0.333 0.500
Au: 0.333 0.667 0.500

Values from the calculation:
Symmetry: No. 187
E_form: -836 meV/atom
Crystal system: hexagonal
E above lowest polymorph: 0.307 eV per formula unit


No. 8
Density functional theory data (PBE-GGA) for a relaxed CeAsF crystal.

Cell lengths 4.085, 4.085, 4.114 Å; angles 90.00, 90.00, 120.00 degrees
Element x y z (fractional)
Ce: 0.000 0.000 0.000
As: 0.667 0.333 0.500
F: 0.333 0.667 0.000

Values from the calculation:
Symmetry: No. 187
Crystal system: hexagonal
E above lowest polymorph: 0.000 eV per formula unit
ΔE_f (raw): -648 kJ/mol of formula units


No. 9
Density functional theory data (PBE-GGA) for a relaxed Ga5Pt crystal.

Cell lengths 6.368, 6.368, 4.225 Å; angles 90.00, 90.00, 142.56 degrees
Element x y z (fractional)
Ga: 0.000 0.000 0.000
Ga: 0.156 0.844 0.500
Ga: 0.338 0.662 0.000
Ga: 0.662 0.338 0.000
Ga: 0.844 0.156 0.500
Pt: 0.500 0.500 0.500

Values from the calculation:
Symmetry: No. 65
E_form: -132 meV/atom
Crystal system: orthorhombic


No. 10
Density functional theory data (PBE-GGA) for a relaxed HgP2W crystal.

Cell lengths 4.689, 4.689, 4.689 Å; angles 126.07, 126.07, 79.77 degrees
Element x y z (fractional)
Hg: 0.000 0.000 0.000
P: 0.250 0.750 0.500
P: 0.750 0.250 0.500
W: 0.500 0.500 0.000

Values from the calculation:
Symmetry: No. 139
E_form: 750 meV/atom
Crystal system: tetragonal


No. 11
Density functional theory data (PBE-GGA) for a relaxed BaLa2Pd crystal.

Cell lengths 5.533, 5.533, 5.533 Å; angles 60.00, 60.00, 60.00 degrees
Element x y z (fractional)
Ba: 0.000 0.000 0.000
La: 0.250 0.250 0.250
La: 0.750 0.750 0.750
Pd: 0.500 0.500 0.500

Values from the calculation:
Symmetry: No. 225
E_form: 0 meV/atom
Crystal system: cubic
E above lowest polymorph: 1.241 eV per formula unit


No. 12
Density functional theory data (PBE-GGA) for a relaxed Nd3Sm3Y4 crystal.

Cell lengths 3.697, 9.643, 9.643 Å; angles 89.92, 90.00, 90.00 degrees
Element x y z (fractional)
Nd: 0.000 0.000 0.000
Nd: 0.000 0.499 0.849
Nd: 0.000 0.849 0.499
Sm: 0.000 0.349 0.349
Sm: 0.500 0.175 0.673
Sm: 0.500 0.673 0.175
Y: 0.500 0.052 0.299
Y: 0.500 0.299 0.052
Y: 0.500 0.550 0.550
Y: 0.500 0.798 0.798

Values from the calculation:
Symmetry: No. 38
E_form: 104 meV/atom
Crystal system: orthorhombic


No. 13
Density functional theory data (PBE-GGA) for a relaxed Ba6Bi2Te3Cl crystal.

Cell lengths 11.279, 11.279, 10.311 Å; angles 103.53, 103.53, 24.80 degrees
Element x y z (fractional)
Ba: 0.001 0.001 0.255
Ba: 0.331 0.331 0.919
Ba: 0.333 0.333 0.413
Ba: 0.667 0.667 0.587
Ba: 0.669 0.669 0.081
Ba: 0.999 0.999 0.745
Bi: 0.164 0.164 0.327
Bi: 0.836 0.836 0.673
Te: 0.163 0.163 0.835
Te: 0.500 0.500 0.500
Te: 0.837 0.837 0.165
Cl: 0.500 0.500 0.000

Values from the calculation:
Symmetry: No. 12
Crystal system: monoclinic
ΔE_f (raw): -1722 kJ/mol of formula units